Density functional theory data (PBE) for a geometry-optimized Mg4Tl5Cd2 structure.

Summary:
**DOS at the Fermi energy**: 4.1 states/eV/cell
**Calculated volume**: 314.2 Å³ per cell
**Energy above the lowest structure with this stoichiometry**: 0.127 eV/atom
**Energy relative to the elements**: 0.13 eV per atom
**Space-group type**: Immm
**Total DFT energy (no corrections)**: -1.689 eV/atom

a b c (Å): 4.915 8.903 8.799
angles (deg): 120.39 106.22 90.00
Fractional coordinates of all 11 atoms:
Mg 0.608 0.608 0.215
Mg 0.000 0.299 0.000
Mg 0.392 0.392 0.785
Mg 0.000 0.701 0.000
Tl 0.208 0.537 0.417
Tl 0.792 0.463 0.583
Tl 0.208 0.880 0.417
Tl 0.500 0.000 0.000
Tl 0.792 0.120 0.583
Cd 0.139 0.139 0.278
Cd 0.861 0.861 0.722